# 1
! Nd3Tl2Rh4 | Alexandria | PBE-GGA | optimized geometry; values from VASP
&SYSTEM
  ibrav = 0, nat = 18, ntyp = 3
/
ATOMIC_SPECIES
Tl 204.38 Tl.upf
Nd 144.24 Nd.upf
Rh 102.91 Rh.upf
ATOMIC_POSITIONS crystal
Tl 0.806 0.432 0.207
Nd 0.543 0.780 0.006
Rh 0.946 0.265 0.939
Nd 0.250 0.616 0.384
Nd 0.457 0.220 0.994
Rh 0.054 0.735 0.061
Rh 0.298 0.447 0.136
Nd 0.750 0.384 0.616
Rh 0.446 0.939 0.265
Rh 0.554 0.061 0.735
Nd 0.957 0.994 0.220
Rh 0.202 0.864 0.553
Tl 0.694 0.793 0.568
Rh 0.798 0.136 0.447
Nd 0.043 0.006 0.780
Tl 0.306 0.207 0.432
Rh 0.702 0.553 0.864
Tl 0.194 0.568 0.793
CELL_PARAMETERS angstrom
5.796 -0.453 -0.324
-0.272 8.530 -0.402
-0.272 2.368 8.204
! Total magnetic moment, μB per formula unit: 0.00
! Formation energy, kJ/mol of formula units: -319
! Total energy, eV per formula unit: -51.7

# 2
! Nd3Tl2Rh | Alexandria | PBE-GGA | optimized geometry; values from VASP
&SYSTEM
  ibrav = 0, nat = 12, ntyp = 3
/
ATOMIC_SPECIES
Nd 144.24 Nd.upf
Tl 204.38 Tl.upf
Rh 102.91 Rh.upf
ATOMIC_POSITIONS crystal
Nd 0.677 0.000 0.825
Tl 0.867 0.267 0.500
Rh 0.296 0.407 0.000
Rh 0.704 0.593 0.000
Tl 0.133 0.733 0.500
Nd 0.904 0.641 0.230
Tl 0.000 0.000 0.000
Nd 0.455 0.641 0.770
Nd 0.323 0.000 0.175
Tl 0.500 0.000 0.500
Nd 0.545 0.359 0.230
Nd 0.096 0.359 0.770
CELL_PARAMETERS angstrom
-4.596 -2.383 -6.057
-5.364 -4.333 0.535
-5.750 5.778 0.145
! Total magnetic moment, μB per formula unit: 0.00
! Formation energy, kJ/mol of formula units: -225
! Offset from the most stable computed form, meV per atom: 66
! Total energy, eV per formula unit: -28.7

# 3
! Nd4TlRh | Alexandria | PBE-GGA | optimized geometry; values from VASP
&SYSTEM
  ibrav = 0, nat = 24, ntyp = 3
/
ATOMIC_SPECIES
Tl 204.38 Tl.upf
Nd 144.24 Nd.upf
Rh 102.91 Rh.upf
ATOMIC_POSITIONS crystal
Tl 0.166 0.166 0.503
Nd 0.401 0.401 0.401
Nd 0.190 0.810 0.810
Nd 0.560 0.940 0.940
Nd 0.940 0.940 0.560
Nd 0.940 0.560 0.940
Nd 0.190 0.810 0.190
Nd 0.810 0.190 0.810
Nd 0.940 0.560 0.560
Tl 0.503 0.166 0.166
Tl 0.166 0.166 0.166
Nd 0.190 0.190 0.810
Tl 0.166 0.503 0.166
Nd 0.810 0.810 0.190
Nd 0.560 0.940 0.560
Rh 0.177 0.608 0.608
Rh 0.608 0.608 0.608
Nd 0.401 0.798 0.401
Nd 0.401 0.401 0.798
Nd 0.798 0.401 0.401
Nd 0.560 0.560 0.940
Rh 0.608 0.177 0.608
Nd 0.810 0.190 0.190
Rh 0.608 0.608 0.177
CELL_PARAMETERS angstrom
-5.650 4.015 7.196
1.503 -2.554 9.541
3.968 6.594 6.371
! Total magnetic moment, μB per formula unit: 0.00
! Formation energy, kJ/mol of formula units: -253
! Offset from the most stable computed form, meV per atom: 0
! Total energy, eV per formula unit: -31.4

# 4
! NdTmTlRh | Alexandria | PBE-GGA | optimized geometry; values from VASP
&SYSTEM
  ibrav = 0, nat = 4, ntyp = 4
/
ATOMIC_SPECIES
Rh 102.91 Rh.upf
Nd 144.24 Nd.upf
Tm 168.93 Tm.upf
Tl 204.38 Tl.upf
ATOMIC_POSITIONS crystal
Rh 0.500 0.500 0.500
Nd 0.250 0.250 0.250
Tm 0.750 0.750 0.750
Tl 0.000 0.000 0.000
CELL_PARAMETERS angstrom
5.172 0.000 0.000
2.586 4.479 0.000
2.586 1.493 4.223
! Total magnetic moment, μB per formula unit: 0.00
! Formation energy, kJ/mol of formula units: -170
! Offset from the most stable computed form, meV per atom: 141
! Total energy, eV per formula unit: -20.7

# 5
! NdTmTlRh | Alexandria | PBE-GGA | optimized geometry; values from VASP
&SYSTEM
  ibrav = 0, nat = 4, ntyp = 4
/
ATOMIC_SPECIES
Rh 102.91 Rh.upf
Tl 204.38 Tl.upf
Nd 144.24 Nd.upf
Tm 168.93 Tm.upf
ATOMIC_POSITIONS crystal
Rh 0.000 0.000 0.549
Tl 0.000 0.000 0.088
Nd 0.500 0.500 0.786
Tm 0.500 0.500 0.362
CELL_PARAMETERS angstrom
-1.340 0.930 3.111
-2.759 -2.101 -0.560
3.870 -6.005 3.461
! Total magnetic moment, μB per formula unit: 0.00
! Formation energy, kJ/mol of formula units: -224
! Offset from the most stable computed form, meV per atom: 0
! Total energy, eV per formula unit: -21.3

# 6
! NdYTlRh | Alexandria | PBE-GGA | optimized geometry; values from VASP
&SYSTEM
  ibrav = 0, nat = 4, ntyp = 4
/
ATOMIC_SPECIES
Nd 144.24 Nd.upf
Rh 102.91 Rh.upf
Tl 204.38 Tl.upf
Y 88.91 Y.upf
ATOMIC_POSITIONS crystal
Nd 0.500 0.500 0.500
Rh 0.750 0.750 0.750
Tl 0.250 0.250 0.250
Y 0.000 0.000 0.000
CELL_PARAMETERS angstrom
-1.802 -4.885 -0.116
3.011 -3.926 1.629
-1.120 -2.469 4.447
! Total magnetic moment, μB per formula unit: 0.00
! Formation energy, kJ/mol of formula units: -169
! Offset from the most stable computed form, meV per atom: 119
! Total energy, eV per formula unit: -22.7

# 7
! NdYTlRh | Alexandria | PBE-GGA | optimized geometry; values from VASP
&SYSTEM
  ibrav = 0, nat = 4, ntyp = 4
/
ATOMIC_SPECIES
Y 88.91 Y.upf
Tl 204.38 Tl.upf
Nd 144.24 Nd.upf
Rh 102.91 Rh.upf
ATOMIC_POSITIONS crystal
Y 0.500 0.500 0.359
Tl 0.000 0.000 0.083
Nd 0.500 0.500 0.786
Rh 0.000 0.000 0.557
CELL_PARAMETERS angstrom
3.557 0.000 0.000
0.000 3.557 0.000
0.000 0.000 7.916
! Total magnetic moment, μB per formula unit: 0.00
! Formation energy, kJ/mol of formula units: -215
! Offset from the most stable computed form, meV per atom: 0
! Total energy, eV per formula unit: -23.2

# 8
! Nd2TlZn2Rh5 | Alexandria | PBE-GGA | optimized geometry; values from VASP
&SYSTEM
  ibrav = 0, nat = 20, ntyp = 4
/
ATOMIC_SPECIES
Rh 102.91 Rh.upf
Nd 144.24 Nd.upf
Zn 65.41 Zn.upf
Tl 204.38 Tl.upf
ATOMIC_POSITIONS crystal
Rh 0.500 0.500 0.000
Nd 0.000 0.677 0.177
Nd 0.000 0.823 0.677
Rh 0.500 0.932 0.211
Zn 0.000 0.121 0.621
Tl 0.000 0.500 0.500
Nd 0.000 0.323 0.823
Rh 0.500 0.432 0.289
Rh 0.500 0.289 0.568
Tl 0.000 0.000 0.000
Rh 0.500 0.568 0.711
Rh 0.500 0.211 0.068
Zn 0.000 0.621 0.879
Zn 0.000 0.379 0.121
Nd 0.000 0.177 0.323
Rh 0.500 0.711 0.432
Rh 0.500 0.000 0.500
Zn 0.000 0.879 0.379
Rh 0.500 0.068 0.789
Rh 0.500 0.789 0.932
CELL_PARAMETERS angstrom
-1.230 -3.422 0.971
9.073 -3.570 -1.090
1.912 1.986 9.415
! Total magnetic moment, μB per formula unit: 0.00
! Formation energy, kJ/mol of formula units: -459
! Total energy, eV per formula unit: -56.0

# 9
! Nd2Tm3Rh2 | Alexandria | PBE-GGA | optimized geometry; values from VASP
&SYSTEM
  ibrav = 0, nat = 7, ntyp = 3
/
ATOMIC_SPECIES
Tm 168.93 Tm.upf
Rh 102.91 Rh.upf
Nd 144.24 Nd.upf
ATOMIC_POSITIONS crystal
Tm 0.382 0.763 0.569
Rh 0.830 0.660 0.757
Tm 0.500 0.000 0.000
Rh 0.170 0.340 0.243
Nd 0.163 0.326 0.806
Nd 0.837 0.674 0.194
Tm 0.618 0.237 0.431
CELL_PARAMETERS angstrom
-1.639 -2.696 -2.038
4.710 2.438 -3.552
2.507 -6.132 6.093
! Total magnetic moment, μB per formula unit: 0.00
! Formation energy, kJ/mol of formula units: -391
! Total energy, eV per formula unit: -41.7

# 10
! NdTm3Rh4 | Alexandria | PBE-GGA | optimized geometry; values from VASP
&SYSTEM
  ibrav = 0, nat = 8, ntyp = 3
/
ATOMIC_SPECIES
Rh 102.91 Rh.upf
Tm 168.93 Tm.upf
Nd 144.24 Nd.upf
ATOMIC_POSITIONS crystal
Rh 0.378 0.378 0.866
Rh 0.127 0.127 0.619
Tm 0.500 0.500 0.500
Rh 0.873 0.873 0.381
Tm 0.248 0.248 0.256
Tm 0.752 0.752 0.744
Nd 0.000 0.000 0.000
Rh 0.622 0.622 0.134
CELL_PARAMETERS angstrom
4.631 0.000 1.367
2.114 4.121 1.367
0.035 0.021 8.411
! Total magnetic moment, μB per formula unit: 0.00
! Formation energy, kJ/mol of formula units: -676
! Total energy, eV per formula unit: -54.6